one.
AgBOF2: optimized geometry, GGA-PBE.

Density (g cm⁻³): 3.92
DOS at the Fermi energy (states/eV per atom): 0.841
SG: P4/mmm (123)

a = 4.254 Å, b = 4.254 Å, c = 4.043 Å
α = 90.00°, β = 90.00°, γ = 90.00°
Sites, in units of the cell vectors:
Ag1 0.000 0.000 0.000
B1 0.500 0.500 0.500
O1 0.000 0.000 0.500
F1 0.000 0.500 0.000
F2 0.500 0.000 0.000

two.
AgBOF2: optimized geometry, GGA-PBE.

Density (g cm⁻³): 5.61
DOS at the Fermi energy (states/eV per atom): 0.000
SG: P4/mmm (123)

a = 4.368 Å, b = 4.368 Å, c = 2.681 Å
α = 90.00°, β = 90.00°, γ = 90.00°
Sites, in units of the cell vectors:
Ag1 0.000 0.000 0.000
B1 0.500 0.500 0.500
O1 0.500 0.500 0.000
F1 0.000 0.500 0.500
F2 0.500 0.000 0.500

Tell me which of them is the least stable. Sure, it is one.

one.
FeAg3B: optimized geometry, GGA-PBE.

Density (g cm⁻³): 5.63
DOS at the Fermi energy (states/eV per atom): 0.770
SG: Pm-3m (221)

a = 4.865 Å, b = 4.865 Å, c = 4.865 Å
α = 90.00°, β = 90.00°, γ = 90.00°
Sites, in units of the cell vectors:
Fe1 0.000 0.000 0.000
Ag1 0.000 0.000 0.500
Ag2 0.000 0.500 0.000
Ag3 0.500 0.000 0.000
B1 0.500 0.500 0.500

two.
FeAg3B: optimized geometry, GGA-PBE.

Density (g cm⁻³): 8.09
DOS at the Fermi energy (states/eV per atom): 1.123
SG: Pm-3m (221)

a = 4.311 Å, b = 4.311 Å, c = 4.311 Å
α = 90.00°, β = 90.00°, γ = 90.00°
Sites, in units of the cell vectors:
Fe1 0.000 0.000 0.000
Ag1 0.000 0.500 0.500
Ag2 0.500 0.000 0.500
Ag3 0.500 0.500 0.000
B1 0.500 0.500 0.500

Tell me which of them is the least stable. Sure, it is one.

one.
FeAgB2: optimized geometry, GGA-PBE.

Density (g cm⁻³): 7.74
DOS at the Fermi energy (states/eV per atom): 0.386
SG: Fm-3m (225)

a = 3.831 Å, b = 3.831 Å, c = 3.831 Å
α = 60.00°, β = 60.00°, γ = 60.00°
Sites, in units of the cell vectors:
Fe1 0.000 0.000 0.000
Ag1 0.500 0.500 0.500
B1 0.250 0.250 0.250
B2 0.750 0.750 0.750

two.
FeAgB2: optimized geometry, GGA-PBE.

Density (g cm⁻³): 6.59
DOS at the Fermi energy (states/eV per atom): 0.180
SG: I4_1/amd (141)

a = 7.449 Å, b = 7.449 Å, c = 7.449 Å
α = 151.60°, β = 151.60°, γ = 40.60°
Sites, in units of the cell vectors:
Fe1 0.375 0.625 0.750
Fe2 0.625 0.375 0.250
Ag1 0.125 0.875 0.250
Ag2 0.875 0.125 0.750
B1 0.000 0.500 0.500
B2 0.500 0.000 0.000
B3 0.500 0.500 0.000
B4 0.500 0.500 0.500

Tell me which of them is the least stable. Sure, it is one.

one.
AgB2H6: optimized geometry, GGA-PBE.

Density (g cm⁻³): 2.34
DOS at the Fermi energy (states/eV per atom): 0.115
SG: Fdd2 (43)

a = 9.870 Å, b = 4.689 Å, c = 9.550 Å
α = 79.85°, β = 27.88°, γ = 72.27°
Sites, in units of the cell vectors:
Ag1 0.000 0.000 0.000
Ag2 0.250 0.250 0.250
B1 0.308 0.486 0.759
B2 0.486 0.308 0.447
B3 0.491 0.803 0.942
B4 0.803 0.491 0.764
H1 0.004 0.566 0.630
H2 0.149 0.360 0.974
H3 0.228 0.580 0.700
H4 0.276 0.732 0.101
H5 0.360 0.149 0.518
H6 0.451 0.620 0.684
H7 0.550 0.757 0.022
H8 0.566 0.004 0.799
H9 0.580 0.228 0.493
H10 0.620 0.451 0.246
H11 0.732 0.276 0.890
H12 0.757 0.550 0.670

two.
AgB2H6: optimized geometry, GGA-PBE.

Density (g cm⁻³): 2.29
DOS at the Fermi energy (states/eV per atom): 0.061
SG: P-1 (2)

a = 3.317 Å, b = 3.370 Å, c = 9.002 Å
α = 89.91°, β = 89.59°, γ = 77.28°
Sites, in units of the cell vectors:
Ag1 0.000 0.000 0.000
B1 0.000 0.498 0.597
B2 0.000 0.502 0.403
H1 0.189 0.687 0.500
H2 0.248 0.251 0.662
H3 0.248 0.259 0.336
H4 0.752 0.741 0.664
H5 0.752 0.749 0.338
H6 0.811 0.313 0.500

Tell me which of them is the least stable. Sure, it is one.

one.
AgB3H: optimized geometry, GGA-PBE.

Density (g cm⁻³): 5.43
DOS at the Fermi energy (states/eV per atom): 0.384
SG: Pm-3m (221)

a = 3.510 Å, b = 3.510 Å, c = 3.510 Å
α = 90.00°, β = 90.00°, γ = 90.00°
Sites, in units of the cell vectors:
Ag1 0.000 0.000 0.000
B1 0.000 0.500 0.500
B2 0.500 0.000 0.500
B3 0.500 0.500 0.000
H1 0.500 0.500 0.500

two.
AgB3H: optimized geometry, GGA-PBE.

Density (g cm⁻³): 3.20
DOS at the Fermi energy (states/eV per atom): 0.411
SG: Pm-3m (221)

a = 4.184 Å, b = 4.184 Å, c = 4.184 Å
α = 90.00°, β = 90.00°, γ = 90.00°
Sites, in units of the cell vectors:
Ag1 0.000 0.000 0.000
B1 0.000 0.000 0.500
B2 0.000 0.500 0.000
B3 0.500 0.000 0.000
H1 0.500 0.500 0.500

Tell me which of them is the least stable. Sure, it is two.

one.
HfAgB: optimized geometry, GGA-PBE.

Density (g cm⁻³): 8.99
DOS at the Fermi energy (states/eV per atom): 0.840
SG: P6_3/mmc (194)

a = 3.695 Å, b = 3.695 Å, c = 9.280 Å
α = 90.00°, β = 90.00°, γ = 120.00°
Sites, in units of the cell vectors:
Hf1 0.000 0.000 0.000
Hf2 0.000 0.000 0.500
Ag1 0.333 0.667 0.250
Ag2 0.667 0.333 0.750
B1 0.000 0.000 0.250
B2 0.000 0.000 0.750

two.
HfAgB: optimized geometry, GGA-PBE.

Density (g cm⁻³): 10.36
DOS at the Fermi energy (states/eV per atom): 0.001
SG: Pnma (62)

a = 8.455 Å, b = 3.788 Å, c = 5.948 Å
α = 90.00°, β = 90.00°, γ = 90.00°
Sites, in units of the cell vectors:
Hf1 0.131 0.250 0.100
Hf2 0.369 0.750 0.600
Hf3 0.631 0.250 0.400
Hf4 0.869 0.750 0.900
Ag1 0.103 0.250 0.607
Ag2 0.397 0.750 0.107
Ag3 0.603 0.250 0.893
Ag4 0.897 0.750 0.393
B1 0.148 0.750 0.862
B2 0.352 0.250 0.362
B3 0.648 0.750 0.638
B4 0.852 0.250 0.138

three.
HfAgB: optimized geometry, GGA-PBE.

Density (g cm⁻³): 11.03
DOS at the Fermi energy (states/eV per atom): 0.150
SG: P6_3/mmc (194)

a = 4.434 Å, b = 4.434 Å, c = 5.254 Å
α = 90.00°, β = 90.00°, γ = 120.00°
Sites, in units of the cell vectors:
Hf1 0.333 0.667 0.250
Hf2 0.667 0.333 0.750
Ag1 0.000 0.000 0.000
Ag2 0.000 0.000 0.500
B1 0.333 0.667 0.750
B2 0.667 0.333 0.250

four.
HfAgB: optimized geometry, GGA-PBE.

Density (g cm⁻³): 10.39
DOS at the Fermi energy (states/eV per atom): 0.517
SG: P1 (1)

a = 3.426 Å, b = 4.660 Å, c = 6.392 Å
α = 89.94°, β = 89.96°, γ = 68.54°
Sites, in units of the cell vectors:
Hf1 0.000 0.000 0.000
Hf2 0.289 0.420 0.315
Ag1 0.005 0.985 0.525
Ag2 0.720 0.554 0.723
B1 0.567 0.864 0.240
B2 0.715 0.569 0.080

Tell me which of them is the least stable. Sure, it is one.

one.
HfAg2B: optimized geometry, GGA-PBE.

Density (g cm⁻³): 9.91
DOS at the Fermi energy (states/eV per atom): 0.528
SG: I-42d (122)

a = 10.425 Å, b = 10.425 Å, c = 10.425 Å
α = 159.75°, β = 159.75°, γ = 28.80°
Sites, in units of the cell vectors:
Hf1 0.000 0.000 0.000
Hf2 0.750 0.250 0.500
Ag1 0.132 0.625 0.007
Ag2 0.375 0.382 0.507
Ag3 0.618 0.125 0.993
Ag4 0.875 0.868 0.493
B1 0.250 0.750 0.500
B2 0.500 0.500 0.000

two.
HfAg2B: optimized geometry, GGA-PBE.

Density (g cm⁻³): 10.48
DOS at the Fermi energy (states/eV per atom): 0.344
SG: Fm-3m (225)

a = 4.494 Å, b = 4.494 Å, c = 4.494 Å
α = 60.00°, β = 60.00°, γ = 60.00°
Sites, in units of the cell vectors:
Hf1 0.000 0.000 0.000
Ag1 0.250 0.250 0.250
Ag2 0.750 0.750 0.750
B1 0.500 0.500 0.500

Tell me which of them is the least stable. Sure, it is two.

one.
Hf2Ag2B: optimized geometry, GGA-PBE.

Density (g cm⁻³): 9.10
DOS at the Fermi energy (states/eV per atom): 0.748
SG: I4/mmm (139)

a = 7.447 Å, b = 7.447 Å, c = 7.447 Å
α = 149.44°, β = 149.44°, γ = 43.77°
Sites, in units of the cell vectors:
Hf1 0.250 0.750 0.500
Hf2 0.750 0.250 0.500
Ag1 0.095 0.095 0.000
Ag2 0.905 0.905 0.000
B1 0.500 0.500 0.000

two.
Hf2Ag2B: optimized geometry, GGA-PBE.

Density (g cm⁻³): 11.09
DOS at the Fermi energy (states/eV per atom): 0.758
SG: P4/mbm (127)

a = 6.070 Å, b = 6.070 Å, c = 4.744 Å
α = 90.00°, β = 90.00°, γ = 90.00°
Sites, in units of the cell vectors:
Hf1 0.171 0.329 0.000
Hf2 0.329 0.829 0.000
Hf3 0.671 0.171 0.000
Hf4 0.829 0.671 0.000
Ag1 0.161 0.661 0.500
Ag2 0.339 0.161 0.500
Ag3 0.661 0.839 0.500
Ag4 0.839 0.339 0.500
B1 0.000 0.000 0.500
B2 0.500 0.500 0.500

Tell me which of them is the least stable. Sure, it is one.

one.
HfAgB2: optimized geometry, GGA-PBE.

Density (g cm⁻³): 8.92
DOS at the Fermi energy (states/eV per atom): 0.402
SG: I-42d (122)

a = 7.846 Å, b = 7.846 Å, c = 7.846 Å
α = 150.80°, β = 150.80°, γ = 41.76°
Sites, in units of the cell vectors:
Hf1 0.000 0.000 0.000
Hf2 0.750 0.250 0.500
Ag1 0.250 0.750 0.500
Ag2 0.500 0.500 0.000
B1 0.304 0.625 0.179
B2 0.375 0.554 0.679
B3 0.446 0.125 0.821
B4 0.875 0.696 0.321

two.
HfAgB2: optimized geometry, GGA-PBE.

Density (g cm⁻³): 10.05
DOS at the Fermi energy (states/eV per atom): 0.587
SG: Fm-3m (225)

a = 4.159 Å, b = 4.159 Å, c = 4.159 Å
α = 60.00°, β = 60.00°, γ = 60.00°
Sites, in units of the cell vectors:
Hf1 0.000 0.000 0.000
Ag1 0.500 0.500 0.500
B1 0.250 0.250 0.250
B2 0.750 0.750 0.750

Tell me which of them is the least stable. Sure, it is one.

one.
HfAg3B: optimized geometry, GGA-PBE.

Density (g cm⁻³): 10.09
DOS at the Fermi energy (states/eV per atom): 0.745
SG: Pm-3m (221)

a = 4.387 Å, b = 4.387 Å, c = 4.387 Å
α = 90.00°, β = 90.00°, γ = 90.00°
Sites, in units of the cell vectors:
Hf1 0.000 0.000 0.000
Ag1 0.000 0.500 0.500
Ag2 0.500 0.000 0.500
Ag3 0.500 0.500 0.000
B1 0.500 0.500 0.500

two.
HfAg3B: optimized geometry, GGA-PBE.

Density (g cm⁻³): 5.77
DOS at the Fermi energy (states/eV per atom): 1.034
SG: Pm-3m (221)

a = 5.283 Å, b = 5.283 Å, c = 5.283 Å
α = 90.00°, β = 90.00°, γ = 90.00°
Sites, in units of the cell vectors:
Hf1 0.000 0.000 0.000
Ag1 0.000 0.000 0.500
Ag2 0.000 0.500 0.000
Ag3 0.500 0.000 0.000
B1 0.500 0.500 0.500

Tell me which of them is the least stable. Sure, it is two.

one.
Ag2HgB: optimized geometry, GGA-PBE.

Density (g cm⁻³): 10.37
DOS at the Fermi energy (states/eV per atom): 0.342
SG: Fm-3m (225)

a = 4.590 Å, b = 4.590 Å, c = 4.590 Å
α = 60.00°, β = 60.00°, γ = 60.00°
Sites, in units of the cell vectors:
Ag1 0.250 0.250 0.250
Ag2 0.750 0.750 0.750
Hg1 0.000 0.000 0.000
B1 0.500 0.500 0.500

two.
Ag2HgB: optimized geometry, GGA-PBE.

Density (g cm⁻³): 9.62
DOS at the Fermi energy (states/eV per atom): 0.377
SG: I-42d (122)

a = 6.119 Å, b = 6.119 Å, c = 6.119 Å
α = 98.05°, β = 98.05°, γ = 136.05°
Sites, in units of the cell vectors:
Ag1 0.005 0.625 0.880
Ag2 0.375 0.255 0.380
Ag3 0.745 0.125 0.120
Ag4 0.875 0.995 0.620
Hg1 0.250 0.750 0.500
Hg2 0.500 0.500 0.000
B1 0.000 0.000 0.000
B2 0.750 0.250 0.500

Tell me which of them is the least stable. Sure, it is one.

one.
AgHg3B: optimized geometry, GGA-PBE.

Density (g cm⁻³): 11.49
DOS at the Fermi energy (states/eV per atom): 0.287
SG: Pm-3m (221)

a = 4.705 Å, b = 4.705 Å, c = 4.705 Å
α = 90.00°, β = 90.00°, γ = 90.00°
Sites, in units of the cell vectors:
Ag1 0.000 0.000 0.000
Hg1 0.000 0.500 0.500
Hg2 0.500 0.000 0.500
Hg3 0.500 0.500 0.000
B1 0.500 0.500 0.500

two.
AgHg3B: optimized geometry, GGA-PBE.

Density (g cm⁻³): 7.59
DOS at the Fermi energy (states/eV per atom): 0.890
SG: Pm-3m (221)

a = 5.402 Å, b = 5.402 Å, c = 5.402 Å
α = 90.00°, β = 90.00°, γ = 90.00°
Sites, in units of the cell vectors:
Ag1 0.000 0.000 0.000
Hg1 0.000 0.000 0.500
Hg2 0.000 0.500 0.000
Hg3 0.500 0.000 0.000
B1 0.500 0.500 0.500

Tell me which of them is the least stable. Sure, it is two.